Here is crystalline Ta2BSbPb at its relaxed geometry from Alexandria via LeMat-Bulk. Energies are from PBE.

V: 116.4 Å³ per cell
Formation energy from raw total energies: 1.8202 eV/atom

Lattice parameters (Å, degrees): 5.233 4.251 5.233 90.00 90.00 90.00
Fractional coordinates of all 5 atoms:
Pb1 0.500 0.500 0.500
Sb1 0.000 0.000 0.000
B1 0.000 0.500 0.000
Ta1 0.000 0.000 0.500
Ta2 0.500 0.000 0.000

Here is crystalline Pr8Pt3CI4 at its relaxed geometry from Alexandria via LeMat-Bulk. Energies are from PBE.

V: 501.9 Å³ per cell
Formation energy from raw total energies: -0.9439 eV/atom

Lattice parameters (Å, degrees): 8.477 9.434 8.481 116.75 119.99 90.00
Fractional coordinates of all 16 atoms:
Pr1 0.215 0.680 0.965
Pr2 0.216 0.680 0.432
Pr3 0.271 0.312 0.541
Pr4 0.750 0.680 0.965
Pr5 0.250 0.320 0.035
Pr6 0.729 0.688 0.459
Pr7 0.784 0.320 0.568
Pr8 0.785 0.320 0.035
Pt1 0.500 0.500 0.000
Pt2 0.500 0.500 0.500
Pt3 0.000 0.500 0.500
C1 0.000 0.500 0.000
I1 0.500 0.000 0.000
I2 0.500 0.000 0.500
I3 0.000 0.000 0.000
I4 0.000 0.000 0.500

Here is crystalline Rb4U3Te8Pt at its relaxed geometry from Alexandria via LeMat-Bulk. Energies are from PBE.

V: 605.4 Å³ per cell
Formation energy from raw total energies: -0.7222 eV/atom

Lattice parameters (Å, degrees): 8.743 10.030 9.140 116.61 118.57 90.00
Site moments in Bohr magnetons follow the coordinates.
Fractional coordinates of all 16 atoms:
Rb1 0.500 0.000 0.000  0.00
Rb2 0.500 0.000 0.500  0.00
Rb3 0.000 0.000 0.000  0.00
Rb4 0.000 0.000 0.500  0.00
U1 0.500 0.500 0.000  2.63
U2 0.500 0.500 0.500  2.58
U3 0.000 0.500 0.500  2.58
Te1 0.200 0.676 0.960  -0.04
Te2 0.260 0.720 0.520  -0.06
Te3 0.270 0.297 0.541  -0.06
Te4 0.761 0.676 0.960  -0.04
Te5 0.239 0.324 0.040  -0.04
Te6 0.730 0.703 0.459  -0.06
Te7 0.740 0.280 0.480  -0.06
Te8 0.800 0.324 0.040  -0.04
Pt1 0.000 0.500 0.000  0.04

Here is crystalline RbV2CdCo at its relaxed geometry from Alexandria via LeMat-Bulk. Energies are from PBE.

V: 128.3 Å³ per cell
Energy of formation: 1.166 eV/atom

Lattice parameters (Å, degrees): 4.626 5.995 4.626 90.00 90.00 90.00
Site moments in Bohr magnetons follow the coordinates.
Fractional coordinates of all 5 atoms:
V1 0.000 0.000 0.500  1.83
V2 0.500 0.000 0.000  2.68
Co1 0.000 0.000 0.000  -0.61
Rb1 0.000 0.500 0.000  0.03
Cd1 0.500 0.500 0.500  0.01

Here is crystalline TbSm2In4 at its relaxed geometry from Alexandria via LeMat-Bulk. Energies are from PBE.

V: 207.9 Å³ per cell
Energy of formation: -0.322 eV/atom
Energy relative to the lowest polymorph listed for this composition: 0.033 eV per atom

Lattice parameters (Å, degrees): 5.294 5.294 8.310 108.57 108.57 90.00
Fractional coordinates of all 7 atoms:
Tb1 0.000 0.000 0.000
Sm1 0.748 0.748 0.496
Sm2 0.252 0.252 0.504
In1 0.388 0.888 0.775
In2 0.888 0.388 0.775
In3 0.612 0.112 0.225
In4 0.112 0.612 0.225

Here is crystalline Sr2LiB2Rh5 at its relaxed geometry from Alexandria via LeMat-Bulk. Energies are from PBE.

V: 313.4 Å³ per cell
Energy of formation: -0.270 eV/atom

Lattice parameters (Å, degrees): 3.048 10.141 10.141 90.00 90.00 90.00
Fractional coordinates of all 20 atoms:
Sr1 0.000 0.679 0.179
Sr2 0.000 0.321 0.821
Sr3 0.000 0.179 0.321
Sr4 0.000 0.821 0.679
Li1 0.000 0.000 0.000
Li2 0.000 0.500 0.500
B1 0.000 0.121 0.621
B2 0.000 0.879 0.379
B3 0.000 0.621 0.879
B4 0.000 0.379 0.121
Rh1 0.500 0.232 0.069
Rh2 0.500 0.768 0.931
Rh3 0.500 0.069 0.768
Rh4 0.500 0.732 0.431
Rh5 0.500 0.931 0.232
Rh6 0.500 0.268 0.569
Rh7 0.500 0.569 0.732
Rh8 0.500 0.431 0.268
Rh9 0.500 0.500 0.000
Rh10 0.500 0.000 0.500

Here is crystalline YIrIO2 at its relaxed geometry from Alexandria via LeMat-Bulk. Energies are from PBE.

V: 118.0 Å³ per cell
Energy relative to the lowest polymorph listed for this composition: 0.000 eV per atom
Formation energy from raw total energies: -0.4202 eV/atom

Lattice parameters (Å, degrees): 4.172 4.172 6.777 90.00 90.00 90.00
Site moments in Bohr magnetons follow the coordinates.
Fractional coordinates of all 5 atoms:
I1 0.000 0.000 0.500  0.03
Y1 0.000 0.000 0.000  -0.01
Ir1 0.500 0.500 0.500  1.31
O1 0.000 0.500 0.000  -0.10
O2 0.500 0.000 0.000  -0.10

Here is crystalline TbCeS2 at its relaxed geometry from Alexandria via LeMat-Bulk. Energies are from PBE.

V: 91.0 Å³ per cell
Energy relative to the lowest polymorph listed for this composition: 0.096 eV per atom
Formation energy from raw total energies: -1.9412 eV/atom

Lattice parameters (Å, degrees): 3.883 3.883 7.322 74.62 74.62 60.00
Site moments in Bohr magnetons follow the coordinates.
Fractional coordinates of all 4 atoms:
Tb1 0.671 0.671 0.986  0.00
Ce1 0.495 0.495 0.514  0.90
S1 0.079 0.079 0.764  -0.01
S2 0.255 0.255 0.236  -0.01

Here is crystalline Pm3Tm at its relaxed geometry from Alexandria via LeMat-Bulk. Energies are from PBE.

V: 134.0 Å³ per cell
Energy of formation: 0.134 eV/atom
Energy relative to the lowest polymorph listed for this composition: 0.118 eV per atom

Lattice parameters (Å, degrees): 5.744 5.744 5.744 60.00 60.00 60.00
Fractional coordinates of all 4 atoms:
Tm1 0.500 0.500 0.500
Pm1 0.000 0.000 0.000
Pm2 0.750 0.750 0.750
Pm3 0.250 0.250 0.250

Here is crystalline SnNCl2 at its relaxed geometry from Alexandria via LeMat-Bulk. Energies are from PBE.

V: 88.1 Å³ per cell
Energy relative to the lowest polymorph listed for this composition: 0.089 eV per atom
Formation energy from raw total energies: 0.6169 eV/atom

Lattice parameters (Å, degrees): 4.994 4.994 4.994 60.00 60.00 60.00
Site moments in Bohr magnetons follow the coordinates.
Fractional coordinates of all 4 atoms:
N1 0.000 0.000 0.000  1.83
Sn1 0.500 0.500 0.500  0.02
Cl1 0.250 0.250 0.250  0.10
Cl2 0.750 0.750 0.750  0.10

Here is crystalline Rb2TiBiI6 at its relaxed geometry from Alexandria via LeMat-Bulk. Energies are from PBE.

V: 458.7 Å³ per cell
Formation energy from raw total energies: -0.7553 eV/atom

Lattice parameters (Å, degrees): 8.550 8.550 8.713 60.62 60.62 90.00
Site moments in Bohr magnetons follow the coordinates.
Fractional coordinates of all 10 atoms:
I1 0.272 0.272 0.455  0.02
I2 0.728 0.728 0.545  0.02
I3 0.261 0.261 0.000  0.01
I4 0.739 0.739 0.000  0.01
I5 0.739 0.261 0.000  0.01
I6 0.261 0.739 0.000  0.01
Bi1 0.000 0.000 0.000  0.67
Rb1 0.750 0.250 0.500  0.00
Rb2 0.250 0.750 0.500  0.00
Ti1 0.500 0.500 0.000  1.54

Here is crystalline Sc2Ga3Co at its relaxed geometry from Alexandria via LeMat-Bulk. Energies are from PBE.

V: 116.0 Å³ per cell
Energy of formation: -0.186 eV/atom

Lattice parameters (Å, degrees): 4.376 4.722 6.472 111.39 109.76 90.00
Site moments in Bohr magnetons follow the coordinates.
Fractional coordinates of all 6 atoms:
Sc1 0.750 0.250 0.501  0.10
Sc2 0.250 0.750 0.499  0.10
Ga1 0.392 0.392 0.784  0.00
Ga2 0.000 0.000 0.000  0.00
Ga3 0.608 0.608 0.216  0.00
Co1 0.000 0.500 0.000  0.00

Here is crystalline NdSm3Y at its relaxed geometry from Alexandria via LeMat-Bulk. Energies are from PBE.

V: 341.5 Å³ per cell
Energy of formation: 0.024 eV/atom

Lattice parameters (Å, degrees): 6.365 6.901 9.390 108.61 90.07 117.42
Fractional coordinates of all 10 atoms:
Nd1 0.636 0.102 0.350
Nd2 0.364 0.898 0.650
Sm1 0.165 0.500 0.248
Sm2 0.237 0.299 0.550
Sm3 0.968 0.101 0.851
Sm4 0.032 0.899 0.149
Sm5 0.835 0.500 0.752
Sm6 0.763 0.701 0.450
Y1 0.565 0.299 0.050
Y2 0.435 0.701 0.950

Here is crystalline Ca2MnCr at its relaxed geometry from Alexandria via LeMat-Bulk. Energies are from PBE.

V: 100.0 Å³ per cell
Energy of formation: 0.342 eV/atom
Energy relative to the lowest polymorph listed for this composition: 0.000 eV per atom

Lattice parameters (Å, degrees): 3.419 3.419 8.552 90.00 90.00 90.00
Site moments in Bohr magnetons follow the coordinates.
Fractional coordinates of all 4 atoms:
Cr1 0.000 0.000 0.579  -3.08
Ca1 0.000 0.000 0.938  -0.04
Ca2 0.500 0.500 0.309  0.02
Mn1 0.500 0.500 0.674  3.24

Here is crystalline AsWBr2 at its relaxed geometry from Alexandria via LeMat-Bulk. Energies are from PBE.

V: 85.3 Å³ per cell
Energy relative to the lowest polymorph listed for this composition: 1.375 eV per atom
Formation energy from raw total energies: 1.3490 eV/atom

Lattice parameters (Å, degrees): 4.265 4.472 4.472 90.00 90.00 90.00
Site moments in Bohr magnetons follow the coordinates.
Fractional coordinates of all 4 atoms:
As1 0.500 0.000 0.500  -0.15
Br1 0.000 0.000 0.000  -0.06
Br2 0.000 0.500 0.500  -0.06
W1 0.500 0.500 0.000  2.37

Here is crystalline KNa2CdBi at its relaxed geometry from Alexandria via LeMat-Bulk. Energies are from PBE.

V: 221.0 Å³ per cell
Energy of formation: -0.086 eV/atom

Lattice parameters (Å, degrees): 6.033 6.033 6.071 90.00 90.00 90.00
Fractional coordinates of all 5 atoms:
Na1 0.000 0.500 0.000
Na2 0.500 0.000 0.000
K1 0.500 0.500 0.500
Bi1 0.000 0.000 0.000
Cd1 0.000 0.000 0.500

Here is crystalline Hf2ZrTi2 at its relaxed geometry from Alexandria via LeMat-Bulk. Energies are from PBE.

V: 106.4 Å³ per cell
Energy of formation: 0.334 eV/atom
Energy relative to the lowest polymorph listed for this composition: 0.201 eV per atom

Lattice parameters (Å, degrees): 4.086 4.086 6.996 73.02 73.02 90.00
Fractional coordinates of all 5 atoms:
Hf1 0.750 0.250 0.500
Hf2 0.250 0.750 0.500
Zr1 0.000 0.000 0.000
Ti1 0.410 0.410 0.180
Ti2 0.590 0.590 0.820

Here is crystalline Tm5IrAu4 at its relaxed geometry from Alexandria via LeMat-Bulk. Energies are from PBE.

V: 217.9 Å³ per cell
Energy of formation: -0.897 eV/atom

Lattice parameters (Å, degrees): 3.511 3.511 17.673 90.00 90.00 90.00
Fractional coordinates of all 10 atoms:
Tm1 0.500 0.500 0.091
Tm2 0.500 0.500 0.295
Tm3 0.500 0.500 0.500
Tm4 0.500 0.500 0.705
Tm5 0.500 0.500 0.909
Ir1 0.000 0.000 0.000
Au1 0.000 0.000 0.196
Au2 0.000 0.000 0.399
Au3 0.000 0.000 0.601
Au4 0.000 0.000 0.804

Here is crystalline TiMoHIr2 at its relaxed geometry from Alexandria via LeMat-Bulk. Energies are from PBE.

V: 62.5 Å³ per cell
Energy relative to the lowest polymorph listed for this composition: 0.034 eV per atom

Lattice parameters (Å, degrees): 3.950 3.950 4.004 90.00 90.00 90.00
Fractional coordinates of all 5 atoms:
H1 0.000 0.000 0.000
Mo1 0.000 0.000 0.500
Ir1 0.000 0.500 0.000
Ir2 0.500 0.000 0.000
Ti1 0.500 0.500 0.500

Here is crystalline Na5AgS3 at its relaxed geometry from Alexandria via LeMat-Bulk. Energies are from PBE.

V: 408.5 Å³ per cell
Formation energy from raw total energies: -0.8947 eV/atom

Lattice parameters (Å, degrees): 6.489 7.923 9.186 106.85 90.00 114.17
Fractional coordinates of all 18 atoms:
Na1 0.245 0.000 0.750
Na2 0.586 0.671 0.915
Na3 0.913 0.328 0.079
Na4 0.414 0.329 0.085
Na5 0.585 0.672 0.421
Na6 0.755 0.000 0.250
Na7 0.085 0.671 0.415
Na8 0.915 0.329 0.585
Na9 0.415 0.328 0.579
Na10 0.087 0.672 0.921
Ag1 0.736 0.000 0.750
Ag2 0.264 0.000 0.250
S1 0.000 0.000 0.000
S2 0.660 0.328 0.332
S3 0.000 0.000 0.500
S4 0.340 0.672 0.668
S5 0.668 0.328 0.832
S6 0.332 0.672 0.168